Computed, not measured: an optimized crystal structure of SrSbPtS2 at the PBE-GGA level of DFT.

The value obtained for the electronic total energy is -22.38 eV per cell. The value obtained for the magnetization is 0.000 μB per formula unit. The formation energy from raw total energies is -0.4566 eV per atom. The symmetry is P4/mmm.

a = 5.1749 Å, b = 5.1749 Å, c = 4.9787 Å
α = 90.00°, β = 90.00°, γ = 90.00°
Fractional positions:
Sr1 0.0000 0.0000 0.0000
Sb1 0.5000 0.5000 0.5000
Pt1 0.5000 0.5000 0.0000
S1 0.0000 0.5000 0.5000
S2 0.5000 0.0000 0.5000